Compound: VMoO5
Source: the Alexandria database
Functional: GGA+U
Structure: relaxed

## Properties
For the total energy, the calculation gives -7.313 eV/atom. For the energy above the most stable polymorph in this dataset, the calculation gives 2.9 kJ/mol of atoms.

a b c (Å): 6.304 6.304 4.256
angles (deg): 90.48 90.48 35.14
Atoms (fractional coordinates):
1 O 0.146 0.146 0.507
2 O 0.684 0.684 0.994
3 O 0.850 0.850 0.514
4 O 0.993 0.993 0.997
5 O 0.317 0.317 0.990
6 V 0.851 0.851 0.896
7 Mo 0.152 0.152 0.102